# PBE HoNiGe, relaxed
data_HoNiGe
_chemical_formula_sum 'Ho1 Ni1 Ge1'
_cell_length_a 4.408
_cell_length_b 4.408
_cell_length_c 4.408
_cell_angle_alpha 60.00
_cell_angle_beta 60.00
_cell_angle_gamma 60.00
_space_group_name_H-M_alt 'P 1'
_space_group_IT_number 1
_space_group_name_Hall 'P 1'
loop_
_atom_site_label
_atom_site_type_symbol
_atom_site_fract_x
_atom_site_fract_y
_atom_site_fract_z
Ho1 Ho 0.000 0.000 0.000
Ni1 Ni 0.500 0.500 0.500
Ge1 Ge 0.250 0.250 0.250
# DFT total energy	-15.7	eV for the cell shown
# theoretical density	8.1	Mg/m³
# total magnetic moment	0.00	μB/f.u.